Entry 1:
The following is a PBE-GGA calculation of a relaxed structure of Nd2Y2I2Br3N, from OQMD via LeMat-Bulk.

```
data_Nd2Y2I2Br3N
_chemical_formula_sum 'Nd2 Y2 I2 Br3 N1'
_cell_length_a 9.609
_cell_length_b 9.609
_cell_length_c 8.324
_cell_angle_alpha 101.83
_cell_angle_beta 101.83
_cell_angle_gamma 23.40
_space_group_name_H-M_alt 'P 1'
_space_group_IT_number 1
loop_
_space_group_symop_operation_xyz
'x,y,z'
loop_
_atom_site_label
_atom_site_fract_x
_atom_site_fract_y
_atom_site_fract_z
Nd1 0.001 0.001 0.297
Nd2 0.999 0.999 0.703
Y1 0.372 0.372 0.435
Y2 0.628 0.628 0.565
I1 0.172 0.172 0.317
I2 0.828 0.828 0.683
Br1 0.160 0.160 0.826
Br2 0.500 0.500 0.000
Br3 0.840 0.840 0.174
N1 0.500 0.500 0.500
```

Calculated total energy (eV per atom): -5.379
Total moment (μB/atom): 0.001
Space group: C2/m, No. 12


Entry 2:
The following is a PBE-GGA calculation of a relaxed structure of HfCoB4, from OQMD via LeMat-Bulk.

```
data_HfCoB4
_chemical_formula_sum 'Hf1 Co1 B4'
_cell_length_a 3.121
_cell_length_b 3.121
_cell_length_c 6.055
_cell_angle_alpha 90.00
_cell_angle_beta 90.00
_cell_angle_gamma 120.00
_space_group_name_H-M_alt 'P 1'
_space_group_IT_number 1
loop_
_space_group_symop_operation_xyz
'x,y,z'
loop_
_atom_site_label
_atom_site_fract_x
_atom_site_fract_y
_atom_site_fract_z
Hf1 0.000 0.000 0.000
Co1 0.000 0.000 0.500
B1 0.333 0.667 0.281
B2 0.333 0.667 0.719
B3 0.667 0.333 0.281
B4 0.667 0.333 0.719
```

Total moment (μB/atom): 0.002
Space group: P6/mmm, No. 191
Energy relative to the lowest polymorph listed for this composition (meV per atom): 106


Entry 3:
The following is a PBE-GGA calculation of a relaxed structure of TcHSe2, from OQMD via LeMat-Bulk.

```
data_TcHSe2
_chemical_formula_sum 'Tc2 H2 Se4'
_cell_length_a 7.392
_cell_length_b 7.392
_cell_length_c 6.581
_cell_angle_alpha 115.56
_cell_angle_beta 115.56
_cell_angle_gamma 25.70
_space_group_name_H-M_alt 'P 1'
_space_group_IT_number 1
loop_
_space_group_symop_operation_xyz
'x,y,z'
loop_
_atom_site_label
_atom_site_fract_x
_atom_site_fract_y
_atom_site_fract_z
Tc1 0.000 0.000 0.000
Tc2 0.509 0.509 0.651
H1 0.079 0.079 0.274
H2 0.231 0.231 0.865
Se1 0.141 0.141 0.625
Se2 0.421 0.421 0.182
Se3 0.634 0.634 0.050
Se4 0.866 0.866 0.595
```

Calculated total energy (eV per atom): -5.352
Total moment (μB/atom): 0.001
Space group: Cm, No. 8


Entry 4:
The following is a PBE-GGA calculation of a relaxed structure of Sr2AlOsSe6, from OQMD via LeMat-Bulk.

```
data_Sr2AlOsSe6
_chemical_formula_sum 'Sr2 Al1 Os1 Se6'
_cell_length_a 7.063
_cell_length_b 7.063
_cell_length_c 7.063
_cell_angle_alpha 60.00
_cell_angle_beta 60.00
_cell_angle_gamma 60.00
_space_group_name_H-M_alt 'P 1'
_space_group_IT_number 1
loop_
_space_group_symop_operation_xyz
'x,y,z'
loop_
_atom_site_label
_atom_site_fract_x
_atom_site_fract_y
_atom_site_fract_z
Sr1 0.250 0.250 0.250
Sr2 0.750 0.750 0.750
Al1 0.000 0.000 0.000
Os1 0.500 0.500 0.500
Se1 0.250 0.250 0.750
Se2 0.250 0.750 0.250
Se3 0.250 0.750 0.750
Se4 0.750 0.250 0.250
Se5 0.750 0.250 0.750
Se6 0.750 0.750 0.250
```

Total moment (μB/atom): 0.004
Space group: Fm-3m, No. 225
Energy relative to the lowest polymorph listed for this composition (meV per atom): 153


Entry 5:
The following is a PBE-GGA calculation of a relaxed structure of Zr2BeGa, from OQMD via LeMat-Bulk.

```
data_Zr2BeGa
_chemical_formula_sum 'Zr2 Be1 Ga1'
_cell_length_a 4.660
_cell_length_b 4.660
_cell_length_c 4.660
_cell_angle_alpha 60.00
_cell_angle_beta 60.00
_cell_angle_gamma 60.00
_space_group_name_H-M_alt 'P 1'
_space_group_IT_number 1
loop_
_space_group_symop_operation_xyz
'x,y,z'
loop_
_atom_site_label
_atom_site_fract_x
_atom_site_fract_y
_atom_site_fract_z
Zr1 0.000 0.000 0.000
Zr2 0.250 0.250 0.250
Be1 0.750 0.750 0.750
Ga1 0.500 0.500 0.500
```

Calculated total energy (eV per atom): -5.632
Total moment (μB/atom): 0.001
Space group: F-43m, No. 216


Entry 6:
The following is a PBE-GGA calculation of a relaxed structure of SmTlFeS3, from OQMD via LeMat-Bulk.

```
data_SmTlFeS3
_chemical_formula_sum 'Sm4 Tl4 Fe4 S12'
_cell_length_a 11.058
_cell_length_b 4.149
_cell_length_c 12.097
_cell_angle_alpha 90.00
_cell_angle_beta 90.00
_cell_angle_gamma 90.00
_space_group_name_H-M_alt 'P 1'
_space_group_IT_number 1
loop_
_space_group_symop_operation_xyz
'x,y,z'
loop_
_atom_site_label
_atom_site_fract_x
_atom_site_fract_y
_atom_site_fract_z
Sm1 0.019 0.250 0.167
Sm2 0.481 0.750 0.667
Sm3 0.519 0.250 0.333
Sm4 0.981 0.750 0.833
Tl1 0.160 0.250 0.510
Tl2 0.340 0.750 0.010
Tl3 0.660 0.250 0.990
Tl4 0.840 0.750 0.490
Fe1 0.244 0.250 0.795
Fe2 0.256 0.750 0.295
Fe3 0.744 0.250 0.705
Fe4 0.756 0.750 0.205
S1 0.053 0.750 0.321
S2 0.113 0.250 0.944
S3 0.213 0.750 0.707
S4 0.287 0.250 0.207
S5 0.387 0.750 0.444
S6 0.447 0.250 0.821
S7 0.553 0.750 0.179
S8 0.613 0.250 0.556
S9 0.713 0.750 0.793
S10 0.787 0.250 0.293
S11 0.887 0.750 0.056
S12 0.947 0.250 0.679
```

Calculated total energy (eV per atom): -5.647
Total moment (μB/atom): 0.666
Space group: Pnma, No. 62


Entry 7:
The following is a PBE-GGA calculation of a relaxed structure of SrZrPd, from OQMD via LeMat-Bulk.

```
data_SrZrPd
_chemical_formula_sum 'Sr1 Zr1 Pd1'
_cell_length_a 4.799
_cell_length_b 4.799
_cell_length_c 4.799
_cell_angle_alpha 60.00
_cell_angle_beta 60.00
_cell_angle_gamma 60.00
_space_group_name_H-M_alt 'P 1'
_space_group_IT_number 1
loop_
_space_group_symop_operation_xyz
'x,y,z'
loop_
_atom_site_label
_atom_site_fract_x
_atom_site_fract_y
_atom_site_fract_z
Sr1 0.000 0.000 0.000
Zr1 0.250 0.250 0.250
Pd1 0.750 0.750 0.750
```

Total moment (μB/atom): 0.000
Space group: F-43m, No. 216
Energy relative to the lowest polymorph listed for this composition (meV per atom): 834


Entry 8:
The following is a PBE-GGA calculation of a relaxed structure of NaZrAsOs, from OQMD via LeMat-Bulk.

```
data_NaZrAsOs
_chemical_formula_sum 'Na1 Zr1 As1 Os1'
_cell_length_a 4.656
_cell_length_b 4.656
_cell_length_c 4.656
_cell_angle_alpha 60.00
_cell_angle_beta 60.00
_cell_angle_gamma 60.00
_space_group_name_H-M_alt 'P 1'
_space_group_IT_number 1
loop_
_space_group_symop_operation_xyz
'x,y,z'
loop_
_atom_site_label
_atom_site_fract_x
_atom_site_fract_y
_atom_site_fract_z
Na1 0.000 0.000 0.000
Zr1 0.500 0.500 0.500
As1 0.750 0.750 0.750
Os1 0.250 0.250 0.250
```

Total moment (μB/atom): 0.001
Space group: F-43m, No. 216
Energy relative to the lowest polymorph listed for this composition (meV per atom): 199